# 1
This record from Alexandria via LeMat-Bulk describes a relaxed ZrAgSe2N crystal. The functional is GGA-PBEsol.

Results
**Symmetry**: No. 123
**Raw total energy**: -28.4 eV per cell
**Formation energy (no corrections)**: 0.040 eV per atom

Unit cell a=5.233 b=5.233 c=4.067 alpha=90.00 beta=90.00 gamma=90.00
Positions (direct):
Zr 0.000 0.000 0.000
Ag 0.500 0.500 0.500
Se 0.000 0.500 0.000
Se 0.500 0.000 0.000
N 0.000 0.000 0.500



# 2
This record from Alexandria via LeMat-Bulk describes a relaxed SiAg2N crystal. The functional is GGA-PBEsol.

Results
**Symmetry**: No. 225
**Raw total energy**: -17.2 eV per cell
**Formation energy (no corrections)**: 0.932 eV per atom

Unit cell a=4.258 b=4.258 c=4.258 alpha=60.00 beta=60.00 gamma=60.00
Positions (direct):
Si 0.000 0.000 0.000
Ag 0.250 0.250 0.250
Ag 0.750 0.750 0.750
N 0.500 0.500 0.500



# 3
This record from Alexandria via LeMat-Bulk describes a relaxed SiAgN2 crystal. The functional is GGA-PBEsol.

Results
**Symmetry**: No. 166
**Raw total energy**: -22.8 eV per cell
**Formation energy (no corrections)**: 0.825 eV per atom

Unit cell a=5.867 b=5.867 c=5.867 alpha=33.03 beta=33.03 gamma=33.03
Positions (direct):
Si 0.000 0.000 0.000
Ag 0.500 0.500 0.500
N 0.100 0.100 0.100
N 0.900 0.900 0.900



# 4
This record from Alexandria via LeMat-Bulk describes a relaxed SiAgTe2N crystal. The functional is GGA-PBEsol.

Results
**Symmetry**: No. 123
**Raw total energy**: -23.7 eV per cell
**Formation energy (no corrections)**: 0.183 eV per atom

Unit cell a=5.554 b=5.554 c=3.251 alpha=90.00 beta=90.00 gamma=90.00
Positions (direct):
Si 0.000 0.000 0.000
Ag 0.500 0.500 0.500
Te 0.000 0.500 0.000
Te 0.500 0.000 0.000
N 0.000 0.000 0.500



# 5
This record from Alexandria via LeMat-Bulk describes a relaxed Sr3AgN crystal. The functional is GGA-PBEsol.

Results
**Symmetry**: No. 221
**Raw total energy**: -19.4 eV per cell
**Formation energy (no corrections)**: -0.414 eV per atom

Unit cell a=5.175 b=5.175 c=5.175 alpha=90.00 beta=90.00 gamma=90.00
Positions (direct):
Sr 0.000 0.000 0.500
Sr 0.000 0.500 0.000
Sr 0.500 0.000 0.000
Ag 0.500 0.500 0.500
N 0.000 0.000 0.000



# 6
This record from Alexandria via LeMat-Bulk describes a relaxed SrTi2AgN crystal. The functional is GGA-PBEsol.

Results
**Symmetry**: No. 123
**Raw total energy**: -23.6 eV per cell
**Formation energy (no corrections)**: 1.352 eV per atom

Unit cell a=5.228 b=5.228 c=4.036 alpha=90.00 beta=90.00 gamma=90.00
Positions (direct):
Sr 0.000 0.000 0.000
Ti 0.000 0.500 0.500
Ti 0.500 0.000 0.500
Ag 0.500 0.500 0.500
N 0.500 0.500 0.000



# 7
This record from Alexandria via LeMat-Bulk describes a relaxed TaAgN3 crystal. The functional is GGA-PBEsol.

Results
**Symmetry**: No. 221
**Raw total energy**: -32.4 eV per cell
**Formation energy (no corrections)**: 1.806 eV per atom

Unit cell a=3.832 b=3.832 c=3.832 alpha=90.00 beta=90.00 gamma=90.00
Positions (direct):
Ta 0.000 0.000 0.000
Ag 0.500 0.500 0.500
N 0.000 0.500 0.500
N 0.500 0.000 0.500
N 0.500 0.500 0.000



# 8
This record from Alexandria via LeMat-Bulk describes a relaxed TaAgN3 crystal. The functional is GGA-PBEsol.

Results
**Symmetry**: No. 221
**Raw total energy**: -38.6 eV per cell
**Formation energy (no corrections)**: 0.577 eV per atom

Unit cell a=4.062 b=4.062 c=4.062 alpha=90.00 beta=90.00 gamma=90.00
Positions (direct):
Ta 0.000 0.000 0.000
Ag 0.500 0.500 0.500
N 0.000 0.000 0.500
N 0.000 0.500 0.000
N 0.500 0.000 0.000



# 9
This record from Alexandria via LeMat-Bulk describes a relaxed ZrTc2AgN crystal. The functional is GGA-PBEsol.

Results
**Symmetry**: No. 123
**Raw total energy**: -45.0 eV per cell
**Formation energy (no corrections)**: -0.306 eV per atom

Unit cell a=4.029 b=4.029 c=4.366 alpha=90.00 beta=90.00 gamma=90.00
Positions (direct):
Zr 0.000 0.000 0.000
Tc 0.000 0.500 0.500
Tc 0.500 0.000 0.500
Ag 0.500 0.500 0.000
N 0.000 0.000 0.500



# 10
This record from Alexandria via LeMat-Bulk describes a relaxed Ag3TeN crystal. The functional is GGA-PBEsol.

Results
**Symmetry**: No. 221
**Raw total energy**: -14.6 eV per cell
**Formation energy (no corrections)**: 1.468 eV per atom

Unit cell a=5.197 b=5.197 c=5.197 alpha=90.00 beta=90.00 gamma=90.00
Positions (direct):
Ag 0.000 0.000 0.500
Ag 0.000 0.500 0.000
Ag 0.500 0.000 0.000
Te 0.000 0.000 0.000
N 0.500 0.500 0.500



# 11
This record from Alexandria via LeMat-Bulk describes a relaxed AgTe2N crystal. The functional is GGA-PBEsol.

Results
**Symmetry**: No. 166
**Raw total energy**: -15.5 eV per cell
**Formation energy (no corrections)**: 0.841 eV per atom

Unit cell a=9.030 b=9.030 c=9.030 alpha=20.51 beta=20.51 gamma=20.51
Positions (direct):
Ag 0.000 0.000 0.000
Te 0.105 0.105 0.105
Te 0.895 0.895 0.895
N 0.500 0.500 0.500



# 12
This record from Alexandria via LeMat-Bulk describes a relaxed AgTeN3 crystal. The functional is GGA-PBEsol.

Results
**Symmetry**: No. 221
**Raw total energy**: -21.8 eV per cell
**Formation energy (no corrections)**: 2.131 eV per atom

Unit cell a=3.987 b=3.987 c=3.987 alpha=90.00 beta=90.00 gamma=90.00
Positions (direct):
Ag 0.000 0.000 0.000
Te 0.500 0.500 0.500
N 0.000 0.000 0.500
N 0.000 0.500 0.000
N 0.500 0.000 0.000



Q: Look up the formation energy (no corrections) of the first one.
A: 0.040 eV per atom



Q: formation energy (no corrections) of number 1 (ZrAgSe2N)?
A: 0.040 eV per atom



Q: Number 2 is which compound?
A: SiAg2N